# CaAu3

A relaxed structure of CaAu3 (PBE, Alexandria via LeMat-Bulk).

a b c (Å): 5.4860 8.1259 7.8972
angles (deg): 90.00 90.00 90.00
With the nearest neighbours (Å) after each atom.
Fractional positions:
Au1 0.6183 0.6032 0.2500  6 Au 2.76-2.86, 2 Ca 2.98-3.01
Au2 0.0855 0.1928 0.5560  6 Au 2.76-3.06
Au3 0.3817 0.3968 0.7500  6 Au 2.76-2.86, 2 Ca 2.98-3.01
Au4 0.4145 0.6928 0.9440  6 Au 2.76-3.06
Au5 0.1183 0.8968 0.7500  6 Au 2.76-2.86, 2 Ca 2.98-3.01
Au6 0.9145 0.8072 0.4440  6 Au 2.76-3.06
Au7 0.5855 0.3072 0.0560  6 Au 2.76-3.06
Au8 0.9145 0.8072 0.0560  6 Au 2.76-3.06
Au9 0.8817 0.1032 0.2500  6 Au 2.76-2.86, 2 Ca 2.98-3.01
Au10 0.0855 0.1928 0.9440  6 Au 2.76-3.06
Au11 0.4145 0.6928 0.5560  6 Au 2.76-3.06
Au12 0.5855 0.3072 0.4440  6 Au 2.76-3.06
Ca1 0.1149 0.4551 0.2500  7 Au 2.98-3.23
Ca2 0.8851 0.5449 0.7500  7 Au 2.98-3.23
Ca3 0.3851 0.9551 0.2500  7 Au 2.98-3.23
Ca4 0.6149 0.0449 0.7500  7 Au 2.98-3.23

Output
* magnetic moment: 0.0 Bohr magnetons per cell
* formation energy: -546 meV/atom
* space group: No. 62
* DOS at the Fermi energy: 1.3 states/eV/f.u.

***

# Rb2ScTe2Se6

A relaxed structure of Rb2ScTe2Se6 (PBE, Alexandria via LeMat-Bulk).

a b c (Å): 7.8848 8.9407 7.2494
angles (deg): 110.45 90.00 116.16
With the nearest neighbours (Å) after each atom.
Fractional positions:
Sc1 0.5000 0.0000 0.5000  6 Se 2.63-2.72
Se1 0.3220 0.6440 0.3605  1 Sc 2.63, 2 Se 2.75
Se2 0.3496 0.1807 0.7726  1 Te 2.71, 1 Sc 2.72, 1 Se 2.75
Se3 0.6504 0.8193 0.2274  1 Te 2.71, 1 Sc 2.72, 1 Se 2.75
Se4 0.6780 0.3560 0.6395  1 Sc 2.63, 2 Se 2.75
Se5 0.1689 0.8193 0.2274  1 Te 2.71, 1 Sc 2.72, 1 Se 2.75
Se6 0.8311 0.1807 0.7726  1 Te 2.71, 1 Sc 2.72, 1 Se 2.75
Rb1 0.7244 0.4488 0.1965  6 Se 3.54-3.81
Rb2 0.2756 0.5512 0.8035  6 Se 3.54-3.81
Te1 0.9842 0.9684 0.7959  2 Se 2.71, 1 Te 2.80
Te2 0.0158 0.0316 0.2041  2 Se 2.71, 1 Te 2.80

Output
* magnetic moment: 0.0 Bohr magnetons per cell
* space group: No. 12
* DOS at the Fermi energy: 5.6 states/eV/f.u.
* ΔE_f (raw): -0.6752 eV/atom

***

# Tl2W

A relaxed structure of Tl2W (PBE, Alexandria via LeMat-Bulk).

a b c (Å): 5.1115 5.1115 5.9777
angles (deg): 90.00 90.00 120.00
With the nearest neighbours (Å) after each atom.
Fractional positions:
Tl1 0.6667 0.3333 0.7500  5 W 2.95-2.99
Tl2 0.3333 0.6667 0.2500  5 W 2.95-2.99
Tl3 0.0000 0.0000 0.0000  8 Tl 2.99-3.31, 6 W 3.31
Tl4 0.0000 0.0000 0.5000  8 Tl 2.99-3.31, 6 W 3.31
W1 0.6667 0.3333 0.2500  5 Tl 2.95-2.99
W2 0.3333 0.6667 0.7500  5 Tl 2.95-2.99

Output
* magnetic moment: 2.6 Bohr magnetons per cell
* formation energy: 1458 meV/atom
* space group: No. 194
* energy above the lowest structure with this stoichiometry: 2.489 eV/f.u.
* DOS at the Fermi energy: 4.2 states/eV/f.u.